Record 1
Crystalline Ce6In2Ir at its relaxed geometry, computed with PBE.

Results
The space-group type is No. 58. As for the formation enthalpy at 0 K: -0.269 eV per atom.

Lattice parameters (Å, degrees): 5.2605 9.2069 9.4194 90.00 90.01 90.00
Fractional coordinates of all 18 atoms:
Ir: 0.0000 0.0000 0.5000
Ce: 0.5006 0.8551 0.3979
Ce: 0.9995 0.9859 0.1435
Ce: 0.4995 0.5141 0.6435
Ce: 0.4991 0.2122 0.8929
Ce: 0.5005 0.4859 0.3565
Ce: 0.9991 0.2878 0.3929
Ce: 0.4994 0.1449 0.6021
Ce: 0.0005 0.0141 0.8565
Ce: 0.5009 0.7878 0.1071
Ce: 0.0009 0.7122 0.6071
Ce: 0.0006 0.6449 0.8979
Ir: 0.5000 0.5000 0.0000
In: 0.9993 0.3378 0.7313
In: 0.0007 0.6622 0.2687
In: 0.5007 0.8378 0.7687
In: 0.4993 0.1622 0.2313
Ce: 0.9994 0.3551 0.1021



Record 2
Crystalline TiInSn2 at its relaxed geometry, computed with PBE.

Results
The space-group type is No. 122. As for the formation enthalpy at 0 K: 0.203 eV per atom.

Lattice parameters (Å, degrees): 8.1620 8.1620 6.5039 51.14 51.14 90.00
Fractional coordinates of all 8 atoms:
In: 0.0000 0.0000 0.0000
Sn: 0.1489 0.6250 0.2500
Sn: 0.6011 0.1250 0.2500
Sn: 0.8750 0.8511 0.7500
Ti: 0.5000 0.5000 0.0000
In: 0.7500 0.2500 0.5000
Ti: 0.2500 0.7500 0.5000
Sn: 0.3750 0.3989 0.7500



Record 3
Crystalline YPt2 at its relaxed geometry, computed with PBE.

Results
The space-group type is No. 140. As for the formation enthalpy at 0 K: -0.946 eV per atom.

Lattice parameters (Å, degrees): 5.7680 5.7680 5.7680 124.24 124.24 82.81
Fractional coordinates of all 6 atoms:
Pt: 0.1778 0.3222 0.5000
Pt: 0.6778 0.1778 0.8556
Pt: 0.3222 0.8222 0.1444
Pt: 0.8222 0.6778 0.5000
Y: 0.2500 0.2500 0.0000
Y: 0.7500 0.7500 0.0000



VASP energy across the listed records, respectively: -5.8181 -4.4563 -7.1282 eV per atom.